Y6TlP2Se3 | GGA-PBE | relaxed

Properties
Space-group type: C2/m, No. 12
Raw formation energy: -1.509 eV/atom
Total DFT energy (no corrections): -80.53 eV per formula unit

a = 9.2289 Å, b = 9.2289 Å, c = 8.3810 Å
α = 103.11°, β = 103.11°, γ = 25.42°
Positions (direct):
Y  0.0058  0.0058  0.2640
Y  0.3272  0.3272  0.4284
Y  0.3293  0.3293  0.8967
Y  0.6707  0.6707  0.1033
Y  0.6728  0.6728  0.5716
Y  0.9942  0.9942  0.7360
Tl  0.5000  0.5000  0.0000
P  0.1684  0.1684  0.3373
P  0.8316  0.8316  0.6627
Se  0.1660  0.1660  0.8312
Se  0.5000  0.5000  0.5000
Se  0.8340  0.8340  0.1688

=====

Tm8PSe6 | GGA-PBE | relaxed

Properties
Space-group type: P-3, No. 147
Raw formation energy: -1.218 eV/atom
Total DFT energy (no corrections): -80.35 eV per formula unit

a = 10.2096 Å, b = 10.2096 Å, c = 3.9955 Å
α = 90.00°, β = 90.00°, γ = 120.00°
Positions (direct):
Tm  0.0272  0.2918  0.2396
Tm  0.2647  0.9728  0.2396
Tm  0.2918  0.2647  0.7604
Tm  0.3333  0.6667  0.7536
Tm  0.6667  0.3333  0.2464
Tm  0.7082  0.7353  0.2396
Tm  0.7353  0.0272  0.7604
Tm  0.9728  0.7082  0.7604
P  0.0000  0.0000  0.0000
Se  0.1283  0.6526  0.2528
Se  0.3474  0.4757  0.2528
Se  0.4757  0.1283  0.7472
Se  0.5243  0.8717  0.2528
Se  0.6526  0.5243  0.7472
Se  0.8717  0.3474  0.7472

=====

Tm8P4Se3 | GGA-PBE | relaxed

Properties
Space-group type: C2/m, No. 12
Raw formation energy: -1.566 eV/atom
Total DFT energy (no corrections): -91.36 eV per formula unit

a = 7.9031 Å, b = 7.9031 Å, c = 7.8992 Å
α = 119.87°, β = 119.87°, γ = 90.14°
Positions (direct):
Tm  0.2358  0.2358  0.9851
Tm  0.2422  0.2422  0.4886
Tm  0.2422  0.7578  0.0000
Tm  0.2446  0.7554  0.5000
Tm  0.7554  0.2446  0.5000
Tm  0.7578  0.2422  0.0000
Tm  0.7578  0.7578  0.5114
Tm  0.7642  0.7642  0.0149
P  0.0000  0.0000  0.0000
P  0.0000  0.0000  0.5000
P  0.0000  0.5000  0.5000
P  0.5000  0.0000  0.5000
Se  0.0000  0.5000  0.0000
Se  0.5000  0.0000  0.0000
Se  0.5000  0.5000  0.0000

=====

Tm4P3Se | GGA-PBE | relaxed

Properties
Space-group type: Pm-3m, No. 221
Raw formation energy: -1.669 eV/atom
Polymorph energy (0 for the lowest one): 0.016 eV/atom
Total DFT energy (no corrections): -50.95 eV per formula unit

a = 5.6037 Å, b = 5.6037 Å, c = 5.6037 Å
α = 90.00°, β = 90.00°, γ = 90.00°
Positions (direct):
Tm  0.0000  0.0000  0.0000
Tm  0.0000  0.5000  0.5000
Tm  0.5000  0.0000  0.5000
Tm  0.5000  0.5000  0.0000
P  0.0000  0.0000  0.5000
P  0.0000  0.5000  0.0000
P  0.5000  0.0000  0.0000
Se  0.5000  0.5000  0.5000

=====

Tm4PSe3 | GGA-PBE | relaxed

Properties
Space-group type: Cmmm, No. 65
Raw formation energy: -1.720 eV/atom
Total DFT energy (no corrections): -47.51 eV per formula unit

a = 8.0640 Å, b = 11.3307 Å, c = 3.9784 Å
α = 90.00°, β = 90.00°, γ = 90.00°
Positions (direct):
Tm  0.0000  0.2373  0.0000
Tm  0.0000  0.7627  0.0000
Tm  0.2292  0.0000  0.5000
Tm  0.2708  0.5000  0.5000
Tm  0.5000  0.2627  0.0000
Tm  0.5000  0.7373  0.0000
Tm  0.7292  0.5000  0.5000
Tm  0.7708  0.0000  0.5000
P  0.0000  0.0000  0.0000
P  0.5000  0.5000  0.0000
Se  0.0000  0.5000  0.0000
Se  0.2500  0.2500  0.5000
Se  0.2500  0.7500  0.5000
Se  0.5000  0.0000  0.0000
Se  0.7500  0.2500  0.5000
Se  0.7500  0.7500  0.5000

=====

Tm5P4Se | GGA-PBE | relaxed

Properties
Space-group type: Immm, No. 71
Raw formation energy: -1.682 eV/atom
Total DFT energy (no corrections): -64.30 eV per formula unit

a = 10.5039 Å, b = 10.5039 Å, c = 10.5039 Å
α = 158.28°, β = 149.08°, γ = 38.10°
Positions (direct):
Tm  0.0000  0.0000  0.0000
Tm  0.1991  0.1991  0.0000
Tm  0.3922  0.3922  0.0000
Tm  0.6078  0.6078  0.0000
Tm  0.8009  0.8009  0.0000
P  0.0990  0.5990  0.5000
P  0.2986  0.7986  0.5000
P  0.7014  0.2014  0.5000
P  0.9010  0.4010  0.5000
Se  0.5000  0.0000  0.5000